# 1
RuPt2: relaxed, PBE.

* space group: No. 205
* energy of formation from the pure elements: 762.0 meV/atom
* volume: 222 Å³ per cell

Cell lengths 6.0561, 6.0561, 6.0561 Å; angles 90.00, 90.00, 90.00 degrees
Closest atoms and distances in Å follow each position.
Positions (direct):
Ru: 0.0000 0.0000 0.0000  6 Pt 2.52
Ru: 0.0000 0.5000 0.5000  6 Pt 2.52
Ru: 0.5000 0.0000 0.5000  6 Pt 2.52
Ru: 0.5000 0.5000 0.0000  6 Pt 2.52
Pt: 0.1206 0.6206 0.8794  3 Ru 2.52, 1 Pt 2.53
Pt: 0.1206 0.8794 0.3794  3 Ru 2.52, 1 Pt 2.53
Pt: 0.3794 0.1206 0.8794  3 Ru 2.52, 1 Pt 2.53
Pt: 0.3794 0.3794 0.3794  3 Ru 2.52, 1 Pt 2.53
Pt: 0.6206 0.6206 0.6206  3 Ru 2.52, 1 Pt 2.53
Pt: 0.6206 0.8794 0.1206  3 Ru 2.52, 1 Pt 2.53
Pt: 0.8794 0.1206 0.6206  3 Ru 2.52, 1 Pt 2.53
Pt: 0.8794 0.3794 0.1206  3 Ru 2.52, 1 Pt 2.53



# 2
NdTmTh2: relaxed, PBE.

* space group: No. 123
* energy of formation from the pure elements: 64.5 meV/atom
* volume: 130 Å³ per cell

Cell lengths 5.0189, 5.0189, 5.1443 Å; angles 90.00, 90.00, 90.00 degrees
Closest atoms and distances in Å follow each position.
Positions (direct):
Nd: 0.0000 0.0000 0.0000  4 Tm 3.55, 8 Th 3.59
Tm: 0.5000 0.5000 0.0000  4 Nd 3.55, 8 Th 3.59
Th: 0.0000 0.5000 0.5000  4 Th 3.55, 4 Nd 3.59, 4 Tm 3.59
Th: 0.5000 0.0000 0.5000  4 Th 3.55, 4 Nd 3.59, 4 Tm 3.59



# 3
Tc2GeRuAu: relaxed, PBE.

* space group: No. 123
* energy of formation from the pure elements: 1286.0 meV/atom
* volume: 93 Å³ per cell

Cell lengths 4.5488, 4.5488, 4.4901 Å; angles 90.00, 90.00, 90.00 degrees
Closest atoms and distances in Å follow each position.
Positions (direct):
Tc: 0.0000 0.5000 0.0000  2 Ge 2.27
Tc: 0.5000 0.0000 0.0000  2 Ge 2.27
Ge: 0.0000 0.0000 0.0000  2 Ru 2.25, 4 Tc 2.27
Ru: 0.0000 0.0000 0.5000  2 Ge 2.25
Au: 0.5000 0.5000 0.5000  8 Tc 3.20, 4 Ru 3.22



# 4
La4Pt2C: relaxed, PBE.

* space group: No. 139
* energy of formation from the pure elements: -321.3 meV/atom
* volume: 392 Å³ per cell

Cell lengths 5.0040, 5.0040, 15.6464 Å; angles 90.00, 90.00, 90.00 degrees
Closest atoms and distances in Å follow each position.
Positions (direct):
La: 0.0000 0.0000 0.1896  1 Pt 2.70
La: 0.0000 0.0000 0.8104  1 Pt 2.70
La: 0.0000 0.5000 0.0000  2 C 2.50
La: 0.0000 0.5000 0.5000  2 C 2.50
La: 0.5000 0.0000 0.0000  2 C 2.50
La: 0.5000 0.0000 0.5000  2 C 2.50
La: 0.5000 0.5000 0.3104  1 Pt 2.70
La: 0.5000 0.5000 0.6896  1 Pt 2.70
Pt: 0.0000 0.0000 0.3620  1 C 2.16
Pt: 0.0000 0.0000 0.6380  1 C 2.16
Pt: 0.5000 0.5000 0.1380  1 C 2.16
Pt: 0.5000 0.5000 0.8620  1 C 2.16
C: 0.0000 0.0000 0.5000  2 Pt 2.16
C: 0.5000 0.5000 0.0000  2 Pt 2.16